Material: Na3Pd5I12
Method: DFT, PBE-GGA
State: relaxed

Summary:
- DOS at the Fermi energy: 0.596 states/eV per atom
- Raw formation energy: -7.929 eV per formula unit
- VASP energy: -225.808 eV per cell

Cell: 15.423 15.423 15.423 Å, 109.47 109.47 109.47°
Fractional coordinates of all 80 atoms:
Na 0.125 0.250 0.375
Na 0.125 0.375 0.750
Na 0.250 0.375 0.125
Na 0.250 0.875 0.625
Na 0.375 0.125 0.250
Na 0.375 0.750 0.125
Na 0.625 0.250 0.875
Na 0.625 0.875 0.750
Na 0.750 0.125 0.375
Na 0.750 0.625 0.875
Na 0.875 0.625 0.250
Na 0.875 0.750 0.625
Pd 0.000 0.000 0.000
Pd 0.000 0.000 0.500
Pd 0.000 0.500 0.000
Pd 0.000 0.500 0.500
Pd 0.125 0.750 0.875
Pd 0.125 0.875 0.250
Pd 0.250 0.125 0.875
Pd 0.250 0.625 0.375
Pd 0.375 0.250 0.625
Pd 0.375 0.625 0.750
Pd 0.500 0.000 0.000
Pd 0.500 0.000 0.500
Pd 0.500 0.500 0.000
Pd 0.500 0.500 0.500
Pd 0.625 0.375 0.250
Pd 0.625 0.750 0.375
Pd 0.750 0.375 0.625
Pd 0.750 0.875 0.125
Pd 0.875 0.125 0.750
Pd 0.875 0.250 0.125
I 0.020 0.192 0.126
I 0.020 0.328 0.895
I 0.067 0.692 0.672
I 0.067 0.874 0.395
I 0.105 0.626 0.433
I 0.105 0.980 0.672
I 0.126 0.020 0.192
I 0.126 0.605 0.933
I 0.172 0.192 0.567
I 0.172 0.480 0.605
I 0.192 0.126 0.020
I 0.192 0.567 0.172
I 0.308 0.328 0.933
I 0.308 0.480 0.374
I 0.328 0.895 0.020
I 0.328 0.933 0.308
I 0.374 0.308 0.480
I 0.374 0.567 0.895
I 0.395 0.067 0.874
I 0.395 0.828 0.520
I 0.433 0.105 0.626
I 0.433 0.828 0.808
I 0.480 0.374 0.308
I 0.480 0.605 0.172
I 0.520 0.395 0.828
I 0.520 0.626 0.692
I 0.567 0.172 0.192
I 0.567 0.895 0.374
I 0.605 0.172 0.480
I 0.605 0.933 0.126
I 0.626 0.433 0.105
I 0.626 0.692 0.520
I 0.672 0.067 0.692
I 0.672 0.105 0.980
I 0.692 0.520 0.626
I 0.692 0.672 0.067
I 0.808 0.433 0.828
I 0.808 0.874 0.980
I 0.828 0.520 0.395
I 0.828 0.808 0.433
I 0.874 0.395 0.067
I 0.874 0.980 0.808
I 0.895 0.020 0.328
I 0.895 0.374 0.567
I 0.933 0.126 0.605
I 0.933 0.308 0.328
I 0.980 0.672 0.105
I 0.980 0.808 0.874



Material: TcAuF6
Method: DFT, PBE-GGA
State: relaxed

Summary:
- DOS at the Fermi energy: 0.335 states/eV per atom
- Raw formation energy: -13.010 eV per formula unit
- VASP energy: -75.763 eV per cell

Cell: 5.423 8.733 5.695 Å, 90.00 91.93 90.00°
Fractional coordinates of all 16 atoms:
Tc 0.000 0.000 0.000
Tc 0.500 0.500 0.000
Au 0.000 0.500 0.500
Au 0.500 0.000 0.500
F 0.118 0.150 0.793
F 0.118 0.850 0.793
F 0.174 0.500 0.831
F 0.326 0.000 0.169
F 0.382 0.350 0.207
F 0.382 0.650 0.207
F 0.618 0.350 0.793
F 0.618 0.650 0.793
F 0.674 0.000 0.831
F 0.826 0.500 0.169
F 0.882 0.150 0.207
F 0.882 0.850 0.207



Material: TcAgHg2
Method: DFT, PBE-GGA
State: relaxed

Summary:
- DOS at the Fermi energy: 0.651 states/eV per atom
- Excess energy over the best structure of this formula in the dataset: 4.4 kJ per mole of atoms
- DFT formation energy: 0.4770 eV/atom
- VASP energy: -23.825 eV per cell

Cell: 10.927 2.865 5.194 Å, 90.00 113.12 90.00°
Fractional coordinates of all 8 atoms:
Tc 0.000 0.000 0.000
Tc 0.500 0.500 0.000
Ag 0.232 0.500 0.411
Ag 0.732 0.000 0.411
Hg 0.255 0.000 0.931
Hg 0.489 0.000 0.504
Hg 0.755 0.500 0.931
Hg 0.989 0.500 0.504



Material: Pm12Sm5Sn2
Method: DFT, PBE-GGA
State: relaxed

Summary:
- DOS at the Fermi energy: 1.241 states/eV per atom
- DFT formation energy: -0.0954 eV/atom
- VASP energy: -90.421 eV per cell

Cell: 9.118 9.118 8.590 Å, 92.73 92.73 63.60°
Fractional coordinates of all 19 atoms:
Pm 0.052 0.052 0.308
Pm 0.073 0.684 0.345
Pm 0.167 0.534 0.768
Pm 0.316 0.927 0.655
Pm 0.421 0.421 0.118
Pm 0.466 0.833 0.232
Pm 0.534 0.167 0.768
Pm 0.579 0.579 0.882
Pm 0.684 0.073 0.345
Pm 0.833 0.466 0.232
Pm 0.927 0.316 0.655
Pm 0.948 0.948 0.692
Sm 0.179 0.179 0.000
Sm 0.265 0.265 0.411
Sm 0.500 0.500 0.500
Sm 0.735 0.735 0.589
Sm 0.821 0.821 0.000
Sn 0.195 0.805 0.000
Sn 0.805 0.195 0.000



Material: KIrSe2
Method: DFT, PBE-GGA
State: relaxed

Summary:
- DOS at the Fermi energy: 0.574 states/eV per atom
- Raw formation energy: -1.985 eV per formula unit
- VASP energy: -75.652 eV per cell

Cell: 12.709 3.777 9.594 Å, 90.00 112.51 90.00°
Fractional coordinates of all 16 atoms:
K 0.069 0.000 0.337
K 0.431 0.500 0.663
K 0.569 0.500 0.337
K 0.931 0.000 0.663
Ir 0.249 0.500 0.170
Ir 0.251 0.000 0.830
Ir 0.749 0.000 0.170
Ir 0.751 0.500 0.830
Se 0.145 0.000 0.006
Se 0.161 0.500 0.659
Se 0.339 0.000 0.341
Se 0.355 0.500 0.994
Se 0.645 0.500 0.006
Se 0.661 0.000 0.659
Se 0.839 0.500 0.341
Se 0.855 0.000 0.994



Material: SmTh2Ni6
Method: DFT, PBE-GGA
State: relaxed

Summary:
- DOS at the Fermi energy: 1.424 states/eV per atom
- DFT formation energy: -0.3998 eV/atom
- VASP energy: -57.845 eV per cell

Cell: 7.074 7.074 3.795 Å, 90.00 90.00 120.00°
Fractional coordinates of all 9 atoms:
Sm 0.000 0.000 0.000
Th 0.333 0.667 0.000
Th 0.667 0.333 0.000
Ni 0.000 0.335 0.500
Ni 0.000 0.665 0.500
Ni 0.335 0.000 0.500
Ni 0.335 0.335 0.500
Ni 0.665 0.000 0.500
Ni 0.665 0.665 0.500



Material: Hf2VFeH
Method: DFT, PBE-GGA
State: relaxed

Summary:
- DOS at the Fermi energy: 0.508 states/eV per atom
- VASP energy: -41.475 eV per cell

Cell: 4.566 4.566 3.325 Å, 90.00 90.00 90.00°
Fractional coordinates of all 5 atoms:
Hf 0.000 0.500 0.000
Hf 0.500 0.000 0.000
V 0.000 0.000 0.500
Fe 0.500 0.500 0.500
H 0.500 0.500 0.000



Material: TaAlNi2
Method: DFT, PBE-GGA
State: relaxed

Summary:
- DOS at the Fermi energy: 0.930 states/eV per atom
- DFT formation energy: -0.2526 eV/atom
- VASP energy: -56.336 eV per cell

Cell: 2.804 4.358 8.928 Å, 90.00 90.00 90.00°
Fractional coordinates of all 8 atoms:
Ta 0.000 0.000 0.000
Ta 0.500 0.500 0.500
Al 0.000 0.500 0.772
Al 0.500 0.000 0.272
Ni 0.000 0.000 0.501
Ni 0.000 0.500 0.240
Ni 0.500 0.000 0.740
Ni 0.500 0.500 0.001